{"formula": "TaNi8Ir2", "functional": "PBE", "state": "relaxed", "dft_energy_ev_per_atom": -6.858, "e_form_ev_per_atom": 0.035, "m_tot_mub_per_cell": 2.1, "lattice_angstrom": [[4.4728, -0.6228, -1.3338], [-0.1258, 4.0369, -2.3069], [-1.9429, 1.5285, 7.4698]], "species": ["Ni", "Ir", "Ni", "Ni", "Ni", "Ni", "Ni", "Ni", "Ta", "Ir", "Ni"], "frac_coords": [[0.7364, 0.8337, 0.1741], [0.5431, 0.2020, 0.4040], [0.7364, 0.3404, 0.1741], [0.7488, 0.4058, 0.8116], [0.8639, 0.7463, 0.4926], [0.2636, 0.1663, 0.8259], [0.2636, 0.6596, 0.8259], [0.1361, 0.2537, 0.5074], [0.0000, 0.0000, 0.0000], [0.4569, 0.7980, 0.5960], [0.2512, 0.5942, 0.1884]]}